(1)
Density functional theory data (PBE) for an optimized crystal structure of LaHgSb.

```
data_LaHgSb
_chemical_formula_sum 'La1 Hg1 Sb1'
_space_group_name_H-M_alt 'P 1'
_space_group_IT_number 1
_cell_length_a 5.311
_cell_length_b 5.311
_cell_length_c 5.311
_cell_angle_alpha 60.00
_cell_angle_beta 60.00
_cell_angle_gamma 60.00
loop_
_space_group_symop_operation_xyz
'x,y,z'
loop_
_atom_site_label
_atom_site_type_symbol
_atom_site_fract_x
_atom_site_fract_y
_atom_site_fract_z
Hg1 Hg 0.500 0.500 0.500
La1 La 0.250 0.250 0.250
Sb1 Sb 0.000 0.000 0.000
```

Output
Raw formation energy ... -1.849 eV per formula unit
Excess energy over the best structure of this formula in the dataset ... 153 meV per atom
SG ... F-43m (216)
V ... 35.3 Å³/atom

***

(2)
Density functional theory data (PBE) for an optimized crystal structure of Mg3BPt.

```
data_Mg3BPt
_chemical_formula_sum 'Mg3 B1 Pt1'
_space_group_name_H-M_alt 'P 1'
_space_group_IT_number 1
_cell_length_a 4.946
_cell_length_b 4.946
_cell_length_c 4.946
_cell_angle_alpha 90.00
_cell_angle_beta 90.00
_cell_angle_gamma 90.00
loop_
_space_group_symop_operation_xyz
'x,y,z'
loop_
_atom_site_label
_atom_site_type_symbol
_atom_site_fract_x
_atom_site_fract_y
_atom_site_fract_z
Mg1 Mg 0.000 0.500 0.000
Mg2 Mg 0.000 0.000 0.500
Mg3 Mg 0.500 0.000 0.000
B1 B 0.500 0.500 0.500
Pt1 Pt 0.000 0.000 0.000
```

Output
ΔH_f (0 K) ... 0.613 eV/atom
Excess energy over the best structure of this formula in the dataset ... 515 meV per atom
SG ... Pm-3m (221)
V ... 24.2 Å³/atom

***

(3)
Density functional theory data (PBE) for an optimized crystal structure of AlOsO2.

```
data_AlOsO2
_chemical_formula_sum 'Al1 Os1 O2'
_space_group_name_H-M_alt 'P 1'
_space_group_IT_number 1
_cell_length_a 6.329
_cell_length_b 6.329
_cell_length_c 6.329
_cell_angle_alpha 25.14
_cell_angle_beta 25.14
_cell_angle_gamma 25.14
loop_
_space_group_symop_operation_xyz
'x,y,z'
loop_
_atom_site_label
_atom_site_type_symbol
_atom_site_fract_x
_atom_site_fract_y
_atom_site_fract_z
Os1 Os 0.000 0.000 0.000
Al1 Al 0.500 0.500 0.500
O1 O 0.887 0.887 0.887
O2 O 0.113 0.113 0.113
```

Output
Raw formation energy ... -6.994 eV per formula unit
Excess energy over the best structure of this formula in the dataset ... 0 meV per atom
SG ... R-3m (166)
V ... 10.1 Å³/atom

***

(4)
Density functional theory data (PBE) for an optimized crystal structure of Sr2Li2TlPd5.

```
data_Sr2Li2TlPd5
_chemical_formula_sum 'Sr4 Li4 Tl2 Pd10'
_space_group_name_H-M_alt 'P 1'
_space_group_IT_number 1
_cell_length_a 3.953
_cell_length_b 9.815
_cell_length_c 9.815
_cell_angle_alpha 90.00
_cell_angle_beta 90.00
_cell_angle_gamma 90.00
loop_
_space_group_symop_operation_xyz
'x,y,z'
loop_
_atom_site_label
_atom_site_type_symbol
_atom_site_fract_x
_atom_site_fract_y
_atom_site_fract_z
Sr1 Sr 0.000 0.681 0.181
Sr2 Sr 0.000 0.319 0.819
Sr3 Sr 0.000 0.181 0.319
Sr4 Sr 0.000 0.819 0.681
Li1 Li 0.000 0.116 0.616
Li2 Li 0.000 0.884 0.384
Li3 Li 0.000 0.616 0.884
Li4 Li 0.000 0.384 0.116
Tl1 Tl 0.000 0.000 0.000
Tl2 Tl 0.000 0.500 0.500
Pd1 Pd 0.500 0.215 0.064
Pd2 Pd 0.500 0.785 0.936
Pd3 Pd 0.500 0.064 0.785
Pd4 Pd 0.500 0.715 0.436
Pd5 Pd 0.500 0.936 0.215
Pd6 Pd 0.500 0.285 0.564
Pd7 Pd 0.500 0.564 0.715
Pd8 Pd 0.500 0.436 0.285
Pd9 Pd 0.500 0.500 0.000
Pd10 Pd 0.500 0.000 0.500
```

Output
ΔH_f (0 K) ... -0.478 eV/atom
SG ... P4/mbm (127)
V ... 19.0 Å³/atom